Material: Tb3Pr2Nd
Method: DFT, PBE
State: relaxed

Lattice parameters (Å, degrees): 6.6511 18.2571 3.4349 90.00 90.00 90.00
Fractional coordinates of all 12 atoms:
Tb: 0.0000 0.0000 0.0000
Tb: 0.2191 0.1458 0.5000
Tb: 0.2809 0.6458 0.0000
Tb: 0.5000 0.5000 0.5000
Tb: 0.7191 0.3542 0.0000
Tb: 0.7809 0.8542 0.5000
Pr: 0.2226 0.3131 0.0000
Pr: 0.2774 0.8131 0.5000
Pr: 0.7226 0.1869 0.5000
Pr: 0.7774 0.6869 0.0000
Nd: 0.0000 0.5000 0.0000
Nd: 0.5000 0.0000 0.5000

energy above the lowest structure with this stoichiometry = 0.133 eV/atom
formation energy = 0.251 eV per atom